## AlIr3Cl (SCAN)

Data for a PBEsol-optimized structure of AlIr3Cl.

Computed properties:
magnetic moment	0.00	μB/f.u.
DOS at the Fermi energy	0.931	states/eV/atom
formation energy without anion corrections	1.582	eV/atom

Cell lengths 4.375, 4.375, 4.375 Å; angles 90.00, 90.00, 90.00 degrees
Element x y z (fractional)
1 Ir 0.000 0.000 0.500
2 Cl 0.000 0.000 0.000
3 Al 0.500 0.500 0.500
4 Ir 0.500 0.000 0.000
5 Ir 0.000 0.500 0.000